# Pr3SmAg2

A relaxed Pr3SmAg2 crystal (PBE-GGA, Alexandria).

Values from the calculation:
For the energy relative to the elements, the calculation gives -148 meV per atom. The energy above the most stable polymorph in this dataset is 0.0 meV/atom. Its crystal system is tetragonal. As for the total energy: -25.65 eV/cell.

```
Pr3SmAg2
1.0
3.747 0.000 0.000
0.000 3.747 0.000
0.000 0.000 12.775
Pr Sm Ag
3 1 2
direct
0.000 0.000 0.000
0.000 0.000 0.300
0.000 0.000 0.700
0.500 0.500 0.500
0.500 0.500 0.152
0.500 0.500 0.848
```